(1)
Density functional theory data (PBE) for a relaxed structure of Mg3Bi2.

Properties
**Energy of formation from the pure elements**: -0.9 eV/f.u.
**Total magnetization**: 0.00 μB/f.u.
**Total DFT energy (no corrections)**: -2.69 eV per atom

Unit cell a=7.6154 b=7.6154 c=17.5008 alpha=90.00 beta=90.00 gamma=120.00
Space group R-3c (No. 167, hexagonal axes)
Inequivalent atoms, fractional coordinates:
Mg: 0.0000 0.2497 0.2500 x18
Bi: 0.0000 0.0000 0.1110 x12



(2)
Density functional theory data (PBE) for a relaxed structure of TcSeO2.

Properties
**Formation energy without anion corrections**: -0.6319 eV/atom
**Total magnetization**: 0.00 μB/f.u.
**Total DFT energy (no corrections)**: -6.57 eV per atom

Unit cell a=2.7836 b=2.7836 c=24.5432 alpha=90.00 beta=90.00 gamma=120.00
Space group R-3m (No. 166, hexagonal axes)
Inequivalent atoms, fractional coordinates:
Tc: 0.0000 0.0000 0.0000 x3
Se: 0.0000 0.0000 0.5000 x3
O: 0.0000 0.0000 0.3851 x6



(3)
Density functional theory data (PBE) for a relaxed structure of MgTi2PdO.

Properties
**Formation energy without anion corrections**: -1.1721 eV/atom
**Total magnetization**: 0.00 μB/f.u.
**Total DFT energy (no corrections)**: -6.68 eV per atom

Unit cell a=4.073 b=4.073 c=4.293 alpha=90.00 beta=90.00 gamma=90.00
Space group P4/mmm (No. 123)
Inequivalent atoms, fractional coordinates:
Mg: 0.000 0.000 0.000 x1
Ti: 0.000 0.500 0.500 x2
Pd: 0.500 0.500 0.000 x1
O: 0.000 0.000 0.500 x1



(4)
Density functional theory data (PBE) for a relaxed structure of Ac4YTm2.

Properties
**Energy of formation from the pure elements**: 0.9 eV/f.u.
**Total magnetization**: 0.00 μB/f.u.
**Total DFT energy (no corrections)**: -4.42 eV per atom

Unit cell a=6.717 b=12.791 c=13.138 alpha=90.00 beta=104.80 gamma=90.00
Space group Cc (No. 9)
Inequivalent atoms, fractional coordinates:
Ac: 0.000 0.059 0.000 x4
Ac: 0.209 0.309 0.917 x4
Ac: 0.306 0.176 0.570 x4
Ac: 0.446 0.073 0.848 x4
Y: 0.375 0.376 0.209 x4
Tm: 0.050 0.398 0.644 x4
Tm: 0.116 0.149 0.274 x4



(5)
Density functional theory data (PBE) for a relaxed structure of Pm3Ga2Cu3.

Properties
**Energy of formation from the pure elements**: -3.1 eV/f.u.
**Total magnetization**: 0.00 μB/f.u.
**Total DFT energy (no corrections)**: -4.46 eV per atom

Unit cell a=4.398 b=10.558 c=14.602 alpha=90.00 beta=90.00 gamma=90.00
Space group Cmcm (No. 63)
Inequivalent atoms, fractional coordinates:
Pm: 0.000 0.101 0.102 x8
Pm: 0.000 0.399 0.250 x4
Ga: 0.000 0.197 0.600 x8
Cu: 0.000 0.314 0.750 x4
Cu: 0.000 0.390 0.041 x8



(6)
Density functional theory data (PBE) for a relaxed structure of Ca2Zn2SnPt5.

Properties
**Energy of formation from the pure elements**: -7.4 eV/f.u.
**Total magnetization**: 0.00 μB/f.u.
**Total DFT energy (no corrections)**: -4.82 eV per atom

Unit cell a=9.718 b=9.718 c=3.835 alpha=90.00 beta=90.00 gamma=90.00
Space group P4/mbm (No. 127)
Inequivalent atoms, fractional coordinates:
Ca: 0.176 0.324 0.000 x4
Zn: 0.121 0.621 0.000 x4
Sn: 0.000 0.000 0.000 x2
Pt: 0.000 0.500 0.500 x2
Pt: 0.067 0.792 0.500 x8



(7)
Density functional theory data (PBE) for a relaxed structure of Np3Hg5Te12.

Properties
**Formation energy without anion corrections**: -0.1878 eV/atom
**Total magnetization**: 10.08 μB/f.u.
**Total DFT energy (no corrections)**: -4.09 eV per atom

Unit cell a=17.659 b=17.659 c=17.659 alpha=90.00 beta=90.00 gamma=90.00
Space group Ia-3d (No. 230)
Inequivalent atoms, fractional coordinates:
Np: 0.000 0.250 0.125 x24
Hg: 0.000 0.000 0.000 x16
Hg: 0.000 0.250 0.375 x24
Te: 0.016 0.071 0.655 x96



(8)
Density functional theory data (PBE) for a relaxed structure of MgAlNi.

Properties
**Energy of formation from the pure elements**: -0.3 eV/f.u.
**Total magnetization**: 0.00 μB/f.u.
**Total DFT energy (no corrections)**: -3.81 eV per atom

Unit cell a=2.8908 b=2.8908 c=6.3980 alpha=90.00 beta=90.00 gamma=120.00
Space group P3m1 (No. 156)
Inequivalent atoms, fractional coordinates:
Mg: 0.0000 0.0000 0.0000 x1
Al: 0.6667 0.3333 0.6050 x1
Ni: 0.3333 0.6667 0.3240 x1



(9)
Density functional theory data (PBE) for a relaxed structure of MnAlOs2.

Properties
**Energy of formation from the pure elements**: -0.3 eV/f.u.
**Total magnetization**: 2.54 μB/f.u.
**Total DFT energy (no corrections)**: -8.91 eV per atom

Unit cell a=3.761 b=3.761 c=7.792 alpha=90.00 beta=90.00 gamma=90.00
Space group I-4m2 (No. 119)
Inequivalent atoms, fractional coordinates:
Mn: 0.000 0.000 0.000 x2
Al: 0.000 0.500 0.250 x2
Os: 0.000 0.000 0.500 x2
Os: 0.000 0.500 0.750 x2



(10)
Density functional theory data (PBE) for a relaxed structure of AlAg2GeSe4.

Properties
**Formation energy without anion corrections**: -0.3534 eV/atom
**Total magnetization**: 0.00 μB/f.u.
**Total DFT energy (no corrections)**: -3.85 eV per atom

Unit cell a=6.078 b=6.078 c=11.531 alpha=90.00 beta=90.00 gamma=90.00
Space group I-4 (No. 82)
Inequivalent atoms, fractional coordinates:
Al: 0.000 0.000 0.000 x2
Ag: 0.000 0.000 0.500 x2
Ag: 0.000 0.500 0.750 x2
Ge: 0.000 0.500 0.250 x2
Se: 0.227 0.238 0.120 x8



(11)
Density functional theory data (PBE) for a relaxed structure of Ba4CuPb.

Properties
**Energy of formation from the pure elements**: 2.7 eV/f.u.
**Total magnetization**: 0.00 μB/f.u.
**Total DFT energy (no corrections)**: -2.13 eV per atom

Unit cell a=10.184 b=10.184 c=10.184 alpha=90.00 beta=90.00 gamma=90.00
Space group F-43m (No. 216)
Inequivalent atoms, fractional coordinates:
Ba: 0.124 0.124 0.376 x16
Cu: 0.000 0.000 0.000 x4
Pb: 0.250 0.250 0.750 x4



(12)
Density functional theory data (PBE) for a relaxed structure of AcCePt2.

Properties
**Energy of formation from the pure elements**: -4.4 eV/f.u.
**Total magnetization**: 0.64 μB/f.u.
**Total DFT energy (no corrections)**: -6.62 eV per atom

Unit cell a=6.064 b=4.311 c=8.307 alpha=90.00 beta=97.18 gamma=90.00
Space group P2_1/m (No. 11)
Inequivalent atoms, fractional coordinates:
Ac: 0.227 0.250 0.341 x2
Ce: 0.305 0.250 0.857 x2
Pt: 0.189 0.750 0.063 x2
Pt: 0.267 0.750 0.620 x2



Copy entry 4 word for word.
Density functional theory data (PBE) for a relaxed structure of Ac4YTm2.

Properties
**Energy of formation from the pure elements**: 0.9 eV/f.u.
**Total magnetization**: 0.00 μB/f.u.
**Total DFT energy (no corrections)**: -4.42 eV per atom

Unit cell a=6.717 b=12.791 c=13.138 alpha=90.00 beta=104.80 gamma=90.00
Space group Cc (No. 9)
Inequivalent atoms, fractional coordinates:
Ac: 0.000 0.059 0.000 x4
Ac: 0.209 0.309 0.917 x4
Ac: 0.306 0.176 0.570 x4
Ac: 0.446 0.073 0.848 x4
Y: 0.375 0.376 0.209 x4
Tm: 0.050 0.398 0.644 x4
Tm: 0.116 0.149 0.274 x4



> What is the formula in the twelfth record?

AcCePt2